(1)
! ErScBr | Alexandria | PBE-GGA | optimized geometry; values from VASP
! SG: No. 11
! DOS at the Fermi energy, states/eV per atom: 0.92
! Energy relative to the elements, uncorrected, kJ/mol of atoms: -64
&SYSTEM
  ibrav = 0, nat = 6, ntyp = 3
/
ATOMIC_SPECIES
Sc 44.96 Sc.upf
Er 167.26 Er.upf
Br 79.90 Br.upf
CELL_PARAMETERS angstrom
-1.5538 3.0212 1.2250
-3.2424 -1.5735 -0.2325
1.1829 -4.1821 11.8000
ATOMIC_POSITIONS angstrom
Sc -3.3160 0.0903 3.5456
Sc -0.2973 -2.8247 9.2469
Er -2.8889 -1.4181 7.8117
Er -0.7244 -1.3162 4.9808
Br -1.0373 -0.2123 1.8579
Br -2.5761 -2.5220 10.9346


(2)
! MgTlHg6 | Alexandria | PBE-GGA | optimized geometry; values from VASP
! SG: No. 123
! DOS at the Fermi energy, states/eV per atom: 0.32
! DFT formation energy, kJ/mol of formula units: -13
&SYSTEM
  ibrav = 0, nat = 8, ntyp = 3
/
ATOMIC_SPECIES
Hg 200.59 Hg.upf
Tl 204.38 Tl.upf
Mg 24.30 Mg.upf
CELL_PARAMETERS angstrom
4.5455 0.0000 0.0000
0.0000 4.5455 0.0000
0.0000 0.0000 10.8507
ATOMIC_POSITIONS angstrom
Hg 2.2727 0.0000 7.2658
Hg 2.2727 2.2727 9.3884
Hg 0.0000 2.2727 7.2658
Hg 0.0000 2.2727 3.5849
Hg 2.2727 0.0000 3.5849
Hg 2.2727 2.2727 1.4623
Tl 0.0000 0.0000 0.0000
Mg 0.0000 0.0000 5.4254